This record from Alexandria via LeMat-Bulk describes an optimized crystal structure of Tb2PrTm12. The functional is PBE-GGA.

Summary:
The energy of formation is 31.17 kJ/mol of atoms. For the theoretical density, the calculation gives 8278 kg/m3. Its total magnetic moment is 0.73 μB/f.u. The crystal system is tetragonal. For the density of states at the Fermi level, the calculation gives 1.579 states/eV/atom.

Lattice parameters (Å, degrees): 6.340 6.340 24.812 90.00 90.00 90.00
Space group P4/nbm (No. 125, origin choice 2)
Symmetry-distinct sites (fractional):
Tb 0.250 0.750 0.223
Pr 0.250 0.750 0.500
Tm 0.067 0.567 0.380
Tm 0.081 0.581 0.060
Tm 0.250 0.250 0.158
Tm 0.250 0.250 0.283

This record from Alexandria via LeMat-Bulk describes an optimized crystal structure of Tb3Pr2Tm9. The functional is PBE-GGA.

Summary:
The energy of formation is 6.83 kJ/mol of atoms. For the theoretical density, the calculation gives 8491 kg/m3. Its total magnetic moment is 0.00 μB/f.u. The crystal system is monoclinic. For the density of states at the Fermi level, the calculation gives 1.318 states/eV/atom.

Lattice parameters (Å, degrees): 17.175 14.940 3.549 90.00 101.85 90.00
Space group C2/m (No. 12)
Symmetry-distinct sites (fractional):
Tb 0.000 0.000 0.000
Tb 0.198 0.500 0.698
Pr 0.000 0.271 0.500
Tm 0.000 0.500 0.000
Tm 0.147 0.109 0.647
Tm 0.174 0.303 0.174

This record from Alexandria via LeMat-Bulk describes an optimized crystal structure of TbPrTm2. The functional is PBE-GGA.

Summary:
The energy of formation is 0.49 kJ/mol of atoms. For the theoretical density, the calculation gives 8324 kg/m3. Its total magnetic moment is 0.00 μB/f.u. The crystal system is trigonal. For the excess energy over the best structure of this formula in the dataset, the calculation gives 0.000 eV/atom. For the density of states at the Fermi level, the calculation gives 1.292 states/eV/atom.

Lattice parameters (Å, degrees): 3.5795 3.5795 11.4649 90.00 90.00 120.00
Space group P-3m1 (No. 164)
Symmetry-distinct sites (fractional):
Tb 0.0000 0.0000 0.0000
Pr 0.0000 0.0000 0.5000
Tm 0.3333 0.6667 0.2466

This record from Alexandria via LeMat-Bulk describes an optimized crystal structure of Tb6Pr4Tm. The functional is PBE-GGA.

Summary:
The energy of formation is 41.79 kJ/mol of atoms. For the theoretical density, the calculation gives 7129 kg/m3. Its total magnetic moment is 0.00 μB/f.u. The crystal system is tetragonal. For the excess energy over the best structure of this formula in the dataset, the calculation gives 0.145 eV/atom. For the density of states at the Fermi level, the calculation gives 1.173 states/eV/atom.

Lattice parameters (Å, degrees): 7.671 7.671 13.350 90.00 90.00 90.00
Space group I-42m (No. 121)
Symmetry-distinct sites (fractional):
Tb 0.000 0.500 0.000
Tb 0.233 0.233 0.184
Pr 0.177 0.177 0.422
Tm 0.000 0.000 0.000